Entry 1:
Entry from the Alexandria database: a relaxed structure of Ag8Pt (GGA-PBE).

```
Ag8Pt
1.0
3.0267 0.0000 0.0000
1.5133 7.2545 0.0000
1.5133 0.0000 7.2545
Ag Pt
8 1
direct
0.6651 0.6698 0.0000
0.6651 0.0000 0.6698
0.3332 0.6668 0.6668
0.3349 0.0000 0.3302
0.6668 0.3332 0.3332
0.0000 0.6668 0.3332
0.0000 0.3332 0.6668
0.3349 0.3302 0.0000
0.0000 0.0000 0.0000
```

Computed properties:
Final energy: -3.15 eV/atom
Spin magnetization: 0.0 Bohr magnetons per cell
Energy of formation from the pure elements: 0.0540 eV per atom
ΔE to the lowest computed polymorph: 40 meV/atom

***

Entry 2:
Entry from the Alexandria database: a relaxed structure of ErTmGePt (GGA-PBE).

```
ErTmGePt
1.0
3.8593 0.0000 0.0000
0.0000 4.2485 0.0000
-1.9296 0.0000 5.3704
Er Ge Pt Tm
1 1 1 1
direct
0.1414 0.0000 0.2827
0.5824 0.5000 0.1648
0.4152 0.0000 0.8304
0.8610 0.5000 0.7220
```

Computed properties:
Final energy: -6.02 eV/atom
Spin magnetization: 0.0 Bohr magnetons per cell
Energy of formation from the pure elements: -1.0965 eV per atom
ΔE to the lowest computed polymorph: 0 meV/atom

***

Entry 3:
Entry from the Alexandria database: a relaxed structure of Li5PrCd6 (GGA-PBE).

```
Li5PrCd6
1.0
-4.7808 -1.0168 0.1351
-1.0863 -6.1001 4.4966
-0.7548 4.2995 5.6504
Li Cd Pr
5 6 1
direct
0.6575 0.6838 0.5000
0.3425 0.3162 0.5000
0.3297 0.3445 0.0000
0.6703 0.6555 0.0000
0.0000 0.0000 0.5000
0.8249 0.3514 0.7247
0.5000 0.0000 0.7191
0.8249 0.3514 0.2753
0.5000 0.0000 0.2809
0.1751 0.6486 0.2753
0.1751 0.6486 0.7247
0.0000 0.0000 0.0000
```

Computed properties:
Final energy: -1.88 eV/atom
Spin magnetization: 0.0 Bohr magnetons per cell
Energy of formation from the pure elements: -0.2293 eV per atom

***

Entry 4:
Entry from the Alexandria database: a relaxed structure of NbCuMo2Ru (GGA-PBE).

```
NbCuMo2Ru
1.0
4.4534 0.0000 0.0000
0.0000 4.4534 0.0000
0.0000 0.0000 4.5771
Mo Cu Nb Ru
2 1 1 1
direct
0.5000 0.0000 0.0000
0.0000 0.5000 0.0000
0.0000 0.0000 0.0000
0.0000 0.0000 0.5000
0.5000 0.5000 0.5000
```

Computed properties:
Final energy: -7.42 eV/atom
Spin magnetization: 0.0 Bohr magnetons per cell
Energy of formation from the pure elements: 1.5977 eV per atom

***

Entry 5:
Entry from the Alexandria database: a relaxed structure of Ta2NbOs (GGA-PBE).

```
Ta2NbOs
1.0
-4.0572 6.1275 -0.5559
-2.0950 -2.0019 -6.7763
-5.2446 0.7237 -2.6001
Nb Ta Os
2 4 2
direct
0.2500 0.7500 0.5000
0.5000 0.5000 0.0000
0.3750 0.3497 0.7500
0.8750 0.9003 0.7500
0.6503 0.1250 0.2500
0.0997 0.6250 0.2500
0.7500 0.2500 0.5000
0.0000 0.0000 0.0000
```

Computed properties:
Final energy: -10.77 eV/atom
Spin magnetization: 0.0 Bohr magnetons per cell
Energy of formation from the pure elements: 0.4768 eV per atom
ΔE to the lowest computed polymorph: 796 meV/atom

***

Entry 6:
Entry from the Alexandria database: a relaxed structure of CaMo2Ru (GGA-PBE).

```
CaMo2Ru
1.0
9.8374 0.0145 0.0085
9.4092 2.8708 0.0085
9.4092 1.4105 2.5004
Mo Ca Ru
2 1 1
direct
0.2452 0.2452 0.2452
0.9934 0.9934 0.9934
0.7536 0.7536 0.7536
0.5078 0.5078 0.5078
```

Computed properties:
Final energy: -7.65 eV/atom
Spin magnetization: 0.0 Bohr magnetons per cell
Energy of formation from the pure elements: 0.5858 eV per atom
ΔE to the lowest computed polymorph: 175 meV/atom

***

Entry 7:
Entry from the Alexandria database: a relaxed structure of Ho4Tm3Sc (GGA-PBE).

```
Ho4Tm3Sc
1.0
-4.9733 -0.8270 -7.1554
4.7393 -6.9237 -2.4938
-3.7227 0.1299 7.9263
Ho Sc Tm
8 2 6
direct
0.8133 0.3133 0.3254
0.5121 0.0121 0.3254
0.9879 0.1867 0.6746
0.1867 0.6867 0.6746
0.6867 0.4879 0.6746
0.3133 0.5121 0.3254
0.4879 0.9879 0.6746
0.0121 0.8133 0.3254
0.0000 0.0000 0.0000
0.5000 0.5000 0.0000
0.7500 0.7500 0.5000
0.2500 0.2500 0.5000
0.8529 0.3529 0.0000
0.3529 0.1471 0.0000
0.6471 0.8529 0.0000
0.1471 0.6471 0.0000
```

Computed properties:
Final energy: -4.66 eV/atom
Spin magnetization: 0.0 Bohr magnetons per cell
Energy of formation from the pure elements: 0.0969 eV per atom
ΔE to the lowest computed polymorph: 88 meV/atom

***

Entry 8:
Entry from the Alexandria database: a relaxed structure of TlBrO2 (GGA-PBE).

```
TlBrO2
1.0
-3.4109 -1.4594 -0.6182
0.4512 -2.3004 2.9412
-1.8818 3.2117 2.8007
Tl Br O
1 1 2
direct
0.5000 0.5000 0.0000
0.0000 0.0000 0.5000
0.0000 0.0000 0.0000
0.5000 0.5000 0.5000
```

Computed properties:
Final energy: -3.25 eV/atom
Spin magnetization: 0.0 Bohr magnetons per cell
Formation energy (no corrections): 0.24 eV per atom
ΔE to the lowest computed polymorph: 583 meV/atom

***

Entry 9:
Entry from the Alexandria database: a relaxed structure of SrTeW2 (GGA-PBE).

```
SrTeW2
1.0
-8.9990 4.1237 1.0478
-9.8272 1.0438 1.1923
-8.8292 2.5535 3.8224
W Sr Te
2 1 1
direct
0.5122 0.5122 0.5122
0.9878 0.9878 0.9878
0.7500 0.7500 0.7500
0.2500 0.2500 0.2500
```

Computed properties:
Final energy: -6.51 eV/atom
Spin magnetization: 0.0 Bohr magnetons per cell
Formation energy (no corrections): 1.17 eV per atom

***

Entry 10:
Entry from the Alexandria database: a relaxed structure of CaPrZnIn (GGA-PBE).

```
CaPrZnIn
1.0
-0.0233 -5.3298 0.7378
3.0772 -3.1565 -3.0852
4.3073 -2.4436 2.1042
Ca Pr In Zn
1 1 1 1
direct
0.2500 0.2500 0.2500
0.7500 0.7500 0.7500
0.5000 0.5000 0.5000
0.0000 0.0000 0.0000
```

Computed properties:
Final energy: -3.09 eV/atom
Spin magnetization: 0.0 Bohr magnetons per cell
Energy of formation from the pure elements: -0.3953 eV per atom

***

Entry 11:
Entry from the Alexandria database: a relaxed structure of In2ReTe (GGA-PBE).

```
In2ReTe
1.0
5.5235 0.0002 0.0000
2.1672 5.0805 0.0000
-3.8453 -2.5404 3.0444
Re In Te
1 2 1
direct
0.2500 0.7500 0.5000
0.0000 0.0000 0.0000
0.5000 0.5000 0.0000
0.7500 0.2500 0.5000
```

Computed properties:
Final energy: -4.45 eV/atom
Spin magnetization: 0.5 Bohr magnetons per cell
Formation energy (no corrections): 0.82 eV per atom

***

Entry 12:
Entry from the Alexandria database: a relaxed structure of AlOsW2 (GGA-PBE).

```
AlOsW2
1.0
-2.5795 4.5800 5.0982
-5.9929 1.1352 -4.0520
-5.4691 0.8652 1.7145
W Al Os
4 2 2
direct
0.8750 0.9088 0.7500
0.3750 0.3412 0.7500
0.0912 0.6250 0.2500
0.6588 0.1250 0.2500
0.5000 0.5000 0.0000
0.2500 0.7500 0.5000
0.0000 0.0000 0.0000
0.7500 0.2500 0.5000
```

Computed properties:
Final energy: -9.47 eV/atom
Spin magnetization: 0.0 Bohr magnetons per cell
Energy of formation from the pure elements: 0.7490 eV per atom